# 1
The following is a PBE calculation of SmBeZn after structural relaxation, from Alexandria via LeMat-Bulk.

Unit cell a=7.3054 b=4.4230 c=6.8951 alpha=90.00 beta=90.00 gamma=90.00
Atoms (fractional coordinates):
Sm 0.0185 0.2500 0.1983
Sm 0.4815 0.7500 0.6983
Sm 0.5185 0.2500 0.3017
Sm 0.9815 0.7500 0.8017
Be 0.1738 0.7500 0.4239
Be 0.3262 0.2500 0.9239
Be 0.6738 0.7500 0.0761
Be 0.8262 0.2500 0.5761
Zn 0.1869 0.2500 0.5990
Zn 0.3131 0.7500 0.0990
Zn 0.6869 0.2500 0.9010
Zn 0.8131 0.7500 0.4010

Energy of formation from the pure elements   -0.14 eV per atom
Raw total energy   -40.53 eV for the cell shown
Offset from the most stable computed form   0 meV/atom

---

# 2
The following is a PBE calculation of SmBeZn after structural relaxation, from Alexandria via LeMat-Bulk.

Unit cell a=4.2776 b=4.2776 c=3.7015 alpha=90.00 beta=90.00 gamma=120.00
Atoms (fractional coordinates):
Sm 0.0000 0.0000 0.0000
Be 0.6667 0.3333 0.5000
Zn 0.3333 0.6667 0.5000

Energy of formation from the pure elements   -0.09 eV per atom
Raw total energy   -10.00 eV for the cell shown
Offset from the most stable computed form   43 meV/atom

---

# 3
The following is a PBE calculation of SmZrBeZn after structural relaxation, from Alexandria via LeMat-Bulk.

Unit cell a=4.8216 b=4.8216 c=4.8216 alpha=60.00 beta=60.00 gamma=60.00
Atoms (fractional coordinates):
Sm 0.0000 0.0000 0.0000
Zr 0.5000 0.5000 0.5000
Be 0.7500 0.7500 0.7500
Zn 0.2500 0.2500 0.2500

Energy of formation from the pure elements   -0.01 eV per atom
Raw total energy   -18.30 eV for the cell shown

---

# 4
The following is a PBE calculation of SmZrBe17 after structural relaxation, from Alexandria via LeMat-Bulk.

Unit cell a=5.7814 b=5.7814 c=5.7814 alpha=82.93 beta=82.93 gamma=82.93
Atoms (fractional coordinates):
Sm 0.0000 0.0000 0.0000
Zr 0.3249 0.3249 0.3249
Be 0.0022 0.0022 0.5017
Be 0.0022 0.5017 0.0022
Be 0.1637 0.6570 0.6570
Be 0.3242 0.3242 0.8179
Be 0.3242 0.8179 0.3242
Be 0.3814 0.6593 0.9435
Be 0.3814 0.9435 0.6593
Be 0.5017 0.0022 0.0022
Be 0.5635 0.5635 0.5635
Be 0.6570 0.1637 0.6570
Be 0.6570 0.6570 0.1637
Be 0.6593 0.3814 0.9435
Be 0.6593 0.9435 0.3814
Be 0.7540 0.7540 0.7540
Be 0.8179 0.3242 0.3242
Be 0.9435 0.3814 0.6593
Be 0.9435 0.6593 0.3814

Energy of formation from the pure elements   -0.17 eV per atom
Raw total energy   -79.75 eV for the cell shown